First-principles (PBE) data for a relaxed structure of Be15V2Co2, as listed in Alexandria via LeMat-Bulk.

a b c (Å): 5.517 5.517 5.517
angles (deg): 83.38 83.38 83.38
Sites, in units of the cell vectors:
Be: 0.000 0.000 0.500
Be: 0.000 0.293 0.707
Be: 0.000 0.500 0.000
Be: 0.000 0.707 0.293
Be: 0.161 0.650 0.650
Be: 0.293 0.000 0.707
Be: 0.293 0.707 0.000
Be: 0.350 0.350 0.839
Be: 0.350 0.839 0.350
Be: 0.500 0.000 0.000
Be: 0.650 0.161 0.650
Be: 0.650 0.650 0.161
Be: 0.707 0.000 0.293
Be: 0.707 0.293 0.000
Be: 0.839 0.350 0.350
V: 0.343 0.343 0.343
V: 0.657 0.657 0.657
Co: 0.108 0.108 0.108
Co: 0.892 0.892 0.892

Results
D(E_F)	6.87	states/eV/f.u.
crystal system	trigonal
total magnetization	0.8	μB/f.u.
space group	R-3m, No. 166
energy of formation	-0.168	eV per atom
density	3.576	g cm⁻³

=====

First-principles (PBE) data for a relaxed structure of Be2VCo2, as listed in Alexandria via LeMat-Bulk.

a b c (Å): 6.247 6.247 2.555
angles (deg): 90.00 90.00 90.00
Sites, in units of the cell vectors:
Be: 0.148 0.352 0.000
Be: 0.352 0.852 0.000
Be: 0.648 0.148 0.000
Be: 0.852 0.648 0.000
V: 0.000 0.000 0.500
V: 0.500 0.500 0.500
Co: 0.147 0.647 0.500
Co: 0.353 0.147 0.500
Co: 0.647 0.853 0.500
Co: 0.853 0.353 0.500

Results
D(E_F)	3.71	states/eV/f.u.
crystal system	tetragonal
total magnetization	0.4	μB/f.u.
space group	P4/mbm, No. 127
energy of formation	-0.123	eV per atom
density	6.223	g cm⁻³

=====

First-principles (PBE) data for a relaxed structure of Be2VCo2, as listed in Alexandria via LeMat-Bulk.

a b c (Å): 3.617 3.617 8.199
angles (deg): 90.00 90.00 90.00
Sites, in units of the cell vectors:
Be: 0.000 0.500 0.250
Be: 0.000 0.500 0.750
Be: 0.500 0.000 0.250
Be: 0.500 0.000 0.750
V: 0.000 0.000 0.000
V: 0.500 0.500 0.500
Co: 0.000 0.000 0.371
Co: 0.000 0.000 0.629
Co: 0.500 0.500 0.129
Co: 0.500 0.500 0.871

Results
D(E_F)	5.06	states/eV/f.u.
crystal system	tetragonal
total magnetization	2.4	μB/f.u.
space group	I4/mmm, No. 139
energy of formation	0.210	eV per atom
density	5.785	g cm⁻³

=====

First-principles (PBE) data for a relaxed structure of Be2VCo, as listed in Alexandria via LeMat-Bulk.

a b c (Å): 3.360 3.360 3.577
angles (deg): 90.00 90.00 90.00
Sites, in units of the cell vectors:
Be: 0.000 0.500 0.000
Be: 0.500 0.000 0.000
V: 0.000 0.000 0.500
Co: 0.500 0.500 0.500

Results
D(E_F)	3.63	states/eV/f.u.
crystal system	tetragonal
total magnetization	0.0	μB/f.u.
space group	P4/mmm, No. 123
energy of formation	-0.074	eV per atom
density	5.260	g cm⁻³

=====

First-principles (PBE) data for a relaxed structure of BeV2CoW, as listed in Alexandria via LeMat-Bulk.

a b c (Å): 4.302 4.302 3.758
angles (deg): 90.00 90.00 90.00
Sites, in units of the cell vectors:
Be: 0.000 0.000 0.000
V: 0.000 0.500 0.500
V: 0.500 0.000 0.500
Co: 0.000 0.000 0.500
W: 0.500 0.500 0.000

Results
D(E_F)	5.55	states/eV/f.u.
crystal system	tetragonal
total magnetization	0.0	μB/f.u.
space group	P4/mmm, No. 123
energy of formation	0.791	eV per atom
density	8.445	g cm⁻³

=====

First-principles (PBE) data for a relaxed structure of Be2V2ZnCo5, as listed in Alexandria via LeMat-Bulk.

a b c (Å): 8.354 8.354 3.057
angles (deg): 90.00 90.00 90.00
Sites, in units of the cell vectors:
Be: 0.120 0.380 0.000
Be: 0.380 0.880 0.000
Be: 0.620 0.120 0.000
Be: 0.880 0.620 0.000
V: 0.177 0.677 0.000
V: 0.323 0.177 0.000
V: 0.677 0.823 0.000
V: 0.823 0.323 0.000
Zn: 0.000 0.000 0.000
Zn: 0.500 0.500 0.000
Co: 0.000 0.500 0.500
Co: 0.076 0.211 0.500
Co: 0.211 0.924 0.500
Co: 0.289 0.424 0.500
Co: 0.424 0.711 0.500
Co: 0.500 0.000 0.500
Co: 0.576 0.289 0.500
Co: 0.711 0.576 0.500
Co: 0.789 0.076 0.500
Co: 0.924 0.789 0.500

Results
D(E_F)	6.01	states/eV/f.u.
crystal system	tetragonal
total magnetization	0.0	μB/f.u.
space group	P4/mbm, No. 127
energy of formation	-0.115	eV per atom
density	7.471	g cm⁻³

=====

First-principles (PBE) data for a relaxed structure of Zr2Be2VCo5, as listed in Alexandria via LeMat-Bulk.

a b c (Å): 8.752 8.752 3.177
angles (deg): 90.00 90.00 90.00
Sites, in units of the cell vectors:
Zr: 0.176 0.324 0.000
Zr: 0.324 0.824 0.000
Zr: 0.676 0.176 0.000
Zr: 0.824 0.676 0.000
Be: 0.119 0.619 0.000
Be: 0.381 0.119 0.000
Be: 0.619 0.881 0.000
Be: 0.881 0.381 0.000
V: 0.000 0.000 0.000
V: 0.500 0.500 0.000
Co: 0.000 0.500 0.500
Co: 0.066 0.790 0.500
Co: 0.210 0.066 0.500
Co: 0.290 0.566 0.500
Co: 0.434 0.290 0.500
Co: 0.500 0.000 0.500
Co: 0.566 0.710 0.500
Co: 0.710 0.434 0.500
Co: 0.790 0.934 0.500
Co: 0.934 0.210 0.500

Results
D(E_F)	5.40	states/eV/f.u.
crystal system	tetragonal
total magnetization	0.0	μB/f.u.
space group	P4/mbm, No. 127
energy of formation	-0.342	eV per atom
density	7.452	g cm⁻³

=====

First-principles (PBE) data for a relaxed structure of Zr2BeVCo, as listed in Alexandria via LeMat-Bulk.

a b c (Å): 4.854 4.854 4.164
angles (deg): 90.00 90.00 90.00
Sites, in units of the cell vectors:
Zr: 0.000 0.500 0.000
Zr: 0.500 0.000 0.000
Be: 0.000 0.000 0.500
V: 0.500 0.500 0.500
Co: 0.500 0.500 0.000

Results
D(E_F)	7.45	states/eV/f.u.
crystal system	tetragonal
total magnetization	0.9	μB/f.u.
space group	P4/mmm, No. 123
energy of formation	0.602	eV per atom
density	5.101	g cm⁻³

=====

First-principles (PBE) data for a relaxed structure of ZrBeV2Co, as listed in Alexandria via LeMat-Bulk.

a b c (Å): 4.662 4.662 4.450
angles (deg): 90.00 90.00 90.00
Sites, in units of the cell vectors:
Zr: 0.000 0.000 0.000
Be: 0.500 0.500 0.500
V: 0.000 0.500 0.000
V: 0.500 0.000 0.000
Co: 0.000 0.000 0.500

Results
D(E_F)	8.14	states/eV/f.u.
crystal system	tetragonal
total magnetization	3.3	μB/f.u.
space group	P4/mmm, No. 123
energy of formation	1.899	eV per atom
density	4.482	g cm⁻³

=====

First-principles (PBE) data for a relaxed structure of Be2CoW, as listed in Alexandria via LeMat-Bulk.

a b c (Å): 3.532 2.687 8.948
angles (deg): 90.00 90.00 90.00
Sites, in units of the cell vectors:
Be: 0.000 0.000 0.000
Be: 0.000 0.500 0.500
Be: 0.500 0.000 0.122
Be: 0.500 0.500 0.622
Co: 0.000 0.000 0.714
Co: 0.000 0.500 0.214
W: 0.500 0.000 0.385
W: 0.500 0.500 0.885

Results
D(E_F)	2.85	states/eV/f.u.
crystal system	orthorhombic
total magnetization	0.8	μB/f.u.
space group	Amm2, No. 38
energy of formation	-0.013	eV per atom
density	10.200	g cm⁻³

=====

First-principles (PBE) data for a relaxed structure of BeCo2W, as listed in Alexandria via LeMat-Bulk.

a b c (Å): 2.654 3.269 5.230
angles (deg): 90.00 90.00 90.00
Sites, in units of the cell vectors:
Be: 0.000 0.000 0.000
Co: 0.500 0.500 0.226
Co: 0.500 0.500 0.774
W: 0.000 0.000 0.500

Results
D(E_F)	2.04	states/eV/f.u.
crystal system	orthorhombic
total magnetization	0.0	μB/f.u.
space group	Pmmm, No. 47
energy of formation	-0.050	eV per atom
density	11.373	g cm⁻³

=====

First-principles (PBE) data for a relaxed structure of Be2CoW, as listed in Alexandria via LeMat-Bulk.

a b c (Å): 2.689 2.694 5.776
angles (deg): 90.00 90.09 90.00
Sites, in units of the cell vectors:
Be: 0.001 0.000 0.199
Be: 0.999 0.000 0.801
Co: 0.500 0.500 0.000
W: 0.500 0.500 0.500

Results
D(E_F)	2.93	states/eV/f.u.
crystal system	monoclinic
total magnetization	0.0	μB/f.u.
space group	P2/m, No. 10
energy of formation	-0.103	eV per atom
density	10.351	g cm⁻³